Computed, not measured: crystalline ScNO3 at its relaxed geometry at the GGA-PBE level of DFT.

**Crystal system**: cubic
**ΔE_f (raw)**: 384 meV/atom
**ρ**: 2.8 g/cm3

Cell: 4.0074 4.0074 4.0074 Å, 90.00 90.00 90.00°
Last column: nearest neighbours and their distance in Å.
Space group Pm-3m (No. 221)
Unique sites:
Sc (0.0000, 0.0000, 0.0000) [1 per cell]  6 O 2.00
N (0.5000, 0.5000, 0.5000) [1 per cell]  12 O 2.83
O (0.0000, 0.0000, 0.5000) [3 per cell]  2 Sc 2.00